This record from OQMD describes BaSmCuSe3 after structural relaxation. The functional is PBE.

extended XYZ file:
```
12
Lattice="-1.455 -3.143 7.647 -0.132 -3.881 -1.620 9.903 0.147 -1.157" Properties=species:S:1:pos:R:3 pbc="T T T"
Ba 1.767 -3.251 4.912
Cu 3.317 -4.178 1.543
Se 7.466 -2.623 2.945
Sm 1.217 -1.562 0.910
Cu 5.000 -2.699 3.326
Se 4.094 -1.753 1.135
Ba 6.550 -3.625 -0.043
Se 0.023 -5.863 5.846
Se 0.851 -4.253 1.924
Se 8.294 -1.014 -0.977
Sm 7.100 -5.315 3.959
Se 4.223 -5.124 3.734
```

Calculated values
E = -30.06 eV per formula unit